{
  "formula": "SrS",
  "functional": "GGA-PBE",
  "state": "optimized geometry",
  "relative_energy_mev_per_atom": 152.9,
  "formation_energy_uncorrected_ev_per_atom": -2.00,
  "sg": "I4/mcm",
  "cell": [[-5.045, 5.045, 2.992], [5.045, -5.045, 2.992], [5.045, 5.045, -2.992]],
  "species": ["Sr", "Sr", "Sr", "Sr", "S", "S", "S", "S"],
  "fractional_positions": [[0.146, 0.646, 0.791], [0.354, 0.146, 0.500], [0.646, 0.854, 0.500], [0.854, 0.354, 0.209], [0.148, 0.352, 0.500], [0.352, 0.852, 0.204], [0.648, 0.148, 0.796], [0.852, 0.648, 0.500]]
}

{
  "formula": "Th2AlRe",
  "functional": "GGA-PBE",
  "state": "optimized geometry",
  "formation_enthalpy_0k_ev_per_atom": -0.050,
  "relative_energy_mev_per_atom": 0.0,
  "sg": "P4/mmm",
  "cell": [[3.560, 0.000, 0.000], [0.000, 3.560, 0.000], [0.000, 0.000, 7.785]],
  "species": ["Th", "Th", "Al", "Re"],
  "fractional_positions": [[0.000, 0.000, 0.226], [0.000, 0.000, 0.774], [0.500, 0.500, 0.500], [0.500, 0.500, 0.000]]
}

{
  "formula": "Rb3TiRe",
  "functional": "GGA-PBE",
  "state": "optimized geometry",
  "formation_enthalpy_0k_ev_per_atom": 2.205,
  "relative_energy_mev_per_atom": 0.0,
  "sg": "Pm-3m",
  "cell": [[6.869, 0.000, 0.000], [0.000, 6.869, 0.000], [0.000, 0.000, 6.869]],
  "species": ["Rb", "Rb", "Rb", "Ti", "Re"],
  "fractional_positions": [[0.000, 0.000, 0.500], [0.000, 0.500, 0.000], [0.500, 0.000, 0.000], [0.000, 0.000, 0.000], [0.500, 0.500, 0.500]]
}

{
  "formula": "LaBeCdAg2",
  "functional": "GGA-PBE",
  "state": "optimized geometry",
  "formation_enthalpy_0k_ev_per_atom": -0.039,
  "sg": "P4/mmm",
  "cell": [[4.758, 0.000, 0.000], [0.000, 4.758, 0.000], [0.000, 0.000, 4.723]],
  "species": ["La", "Be", "Cd", "Ag", "Ag"],
  "fractional_positions": [[0.000, 0.000, 0.000], [0.500, 0.500, 0.500], [0.500, 0.500, 0.000], [0.000, 0.500, 0.500], [0.500, 0.000, 0.500]]
}

{
  "formula": "BaNp4Se6",
  "functional": "GGA-PBE",
  "state": "optimized geometry",
  "formation_energy_uncorrected_ev_per_atom": -1.28,
  "sg": "Cmcm",
  "cell": [[2.108, -6.814, 0.000], [2.108, 6.814, 0.000], [0.000, 0.000, 21.290]],
  "species": ["Ba", "Ba", "Np", "Np", "Np", "Np", "Np", "Np", "Np", "Np", "Se", "Se", "Se", "Se", "Se", "Se", "Se", "Se", "Se", "Se", "Se", "Se"],
  "fractional_positions": [[0.161, 0.839, 0.750], [0.839, 0.161, 0.250], [0.097, 0.903, 0.124], [0.097, 0.903, 0.376], [0.363, 0.637, 0.039], [0.363, 0.637, 0.461], [0.637, 0.363, 0.539], [0.637, 0.363, 0.961], [0.903, 0.097, 0.624], [0.903, 0.097, 0.876], [0.000, 0.000, 0.000], [0.000, 0.000, 0.500], [0.159, 0.841, 0.250], [0.267, 0.733, 0.586], [0.267, 0.733, 0.914], [0.462, 0.538, 0.158], [0.462, 0.538, 0.342], [0.538, 0.462, 0.658], [0.538, 0.462, 0.842], [0.733, 0.267, 0.086], [0.733, 0.267, 0.414], [0.841, 0.159, 0.750]]
}

{
  "formula": "Ta3Cr",
  "functional": "GGA-PBE",
  "state": "optimized geometry",
  "formation_enthalpy_0k_ev_per_atom": 0.292,
  "sg": "Pmmn",
  "cell": [[4.793, 0.000, 0.000], [0.000, 5.341, 0.000], [0.000, 0.000, 5.377]],
  "species": ["Ta", "Ta", "Ta", "Ta", "Ta", "Ta", "Cr", "Cr"],
  "fractional_positions": [[0.250, 0.002, 0.138], [0.250, 0.498, 0.138], [0.250, 0.750, 0.616], [0.750, 0.250, 0.384], [0.750, 0.502, 0.862], [0.750, 0.998, 0.862], [0.250, 0.250, 0.654], [0.750, 0.750, 0.346]]
}